DFT (PBE) results for La2ZnSb2 after structural relaxation.

a b c (Å): 6.2715 6.2715 6.2715
angles (deg): 119.21 119.21 91.38
Fractional coordinates of all 5 atoms:
La1 0.2500 0.7500 0.5000
La2 0.7500 0.2500 0.5000
Zn1 0.0000 0.0000 0.0000
Sb1 0.3011 0.3011 0.0000
Sb2 0.6989 0.6989 0.0000

Results
Size of the total moment in μB per cell: 1.17
Density in Mg/m³: 5.52
SG: I4/mmm
Formation energy without anion corrections in eV per atom: -0.490
Volume in A^3/atom: 35.29
Energy in eV per atom: -4.36